# Ca6Sb2P (PBE-GGA, optimized geometry)
data_Ca6Sb2P
_chemical_formula_sum 'Ca12 Sb4 P2'
_space_group_name_H-M_alt 'P 42/m n m'
_space_group_IT_number 136
_space_group_name_Hall '-P 4n 2n'
_cell_length_a 7.071
_cell_length_b 7.071
_cell_length_c 13.648
_cell_angle_alpha 90.00
_cell_angle_beta 90.00
_cell_angle_gamma 90.00
loop_
_atom_site_label
_atom_site_type_symbol
_atom_site_fract_x
_atom_site_fract_y
_atom_site_fract_z
_atom_site_occupancy
Ca1 Ca 0.194 0.194 0.150 1
Ca2 Ca 0.213 0.213 0.500 1
Sb1 Sb 0.000 0.000 0.329 1
P1 P 0.000 0.000 0.000 1
# Uncorrected energy   -3.588 eV/atom
# Magnetization   4.1 μB per cell



# Ga2SiCl (PBE-GGA, optimized geometry)
data_Ga2SiCl
_chemical_formula_sum 'Ga8 Si4 Cl4'
_space_group_name_H-M_alt 'F m -3 m'
_space_group_IT_number 225
_space_group_name_Hall '-F 4 2 3'
_cell_length_a 6.767
_cell_length_b 6.767
_cell_length_c 6.767
_cell_angle_alpha 90.00
_cell_angle_beta 90.00
_cell_angle_gamma 90.00
loop_
_atom_site_label
_atom_site_type_symbol
_atom_site_fract_x
_atom_site_fract_y
_atom_site_fract_z
_atom_site_occupancy
Ga1 Ga 0.250 0.250 0.250 1
Si1 Si 0.000 0.000 0.000 1
Cl1 Cl 0.000 0.000 0.500 1
# Uncorrected energy   -3.174 eV/atom
# Magnetization   0.0 μB per cell



# La5Al4Hg (PBE-GGA, optimized geometry)
data_La5Al4Hg
_chemical_formula_sum 'La5 Al4 Hg1'
_space_group_name_H-M_alt 'P 4/m m m'
_space_group_IT_number 123
_space_group_name_Hall '-P 4 2'
_cell_length_a 3.791
_cell_length_b 3.791
_cell_length_c 19.429
_cell_angle_alpha 90.00
_cell_angle_beta 90.00
_cell_angle_gamma 90.00
loop_
_atom_site_label
_atom_site_type_symbol
_atom_site_fract_x
_atom_site_fract_y
_atom_site_fract_z
_atom_site_occupancy
La1 La 0.000 0.000 0.000 1
La2 La 0.000 0.000 0.196 1
La3 La 0.000 0.000 0.392 1
Al1 Al 0.500 0.500 0.098 1
Al2 Al 0.500 0.500 0.295 1
Hg1 Hg 0.500 0.500 0.500 1
# Formation energy from the elements   -0.39 eV per atom
# Magnetization   0.0 μB per cell



# LiTcRh3 (PBE-GGA, optimized geometry)
data_LiTcRh3
_chemical_formula_sum 'Li1 Tc1 Rh3'
_space_group_name_H-M_alt 'P m -3 m'
_space_group_IT_number 221
_space_group_name_Hall '-P 4 2 3'
_cell_length_a 4.082
_cell_length_b 4.082
_cell_length_c 4.082
_cell_angle_alpha 90.00
_cell_angle_beta 90.00
_cell_angle_gamma 90.00
loop_
_atom_site_label
_atom_site_type_symbol
_atom_site_fract_x
_atom_site_fract_y
_atom_site_fract_z
_atom_site_occupancy
Li1 Li 0.000 0.000 0.000 1
Tc1 Tc 0.500 0.500 0.500 1
Rh1 Rh 0.000 0.000 0.500 1
# Formation energy from the elements   0.73 eV per atom
# Magnetization   0.0 μB per cell



# Pr4AgPdAu2 (PBE-GGA, optimized geometry)
data_Pr4AgPdAu2
_chemical_formula_sum 'Pr12 Ag3 Pd3 Au6'
_space_group_name_H-M_alt 'R -3 m'
_space_group_IT_number 166
_space_group_name_Hall '-R 3 2"'
_cell_length_a 5.2821
_cell_length_b 5.2821
_cell_length_c 25.7598
_cell_angle_alpha 90.00
_cell_angle_beta 90.00
_cell_angle_gamma 120.00
loop_
_atom_site_label
_atom_site_type_symbol
_atom_site_fract_x
_atom_site_fract_y
_atom_site_fract_z
_atom_site_occupancy
Pr1 Pr 0.0000 0.0000 0.1210 1
Pr2 Pr 0.0000 0.0000 0.3712 1
Ag1 Ag 0.0000 0.0000 0.5000 1
Pd1 Pd 0.0000 0.0000 0.0000 1
Au1 Au 0.0000 0.0000 0.2442 1
# Formation energy from the elements   -0.61 eV per atom
# Magnetization   0.0 μB per cell



# Ca2TlCr (PBE-GGA, optimized geometry)
data_Ca2TlCr
_chemical_formula_sum 'Ca4 Tl2 Cr2'
_space_group_name_H-M_alt 'C m m m'
_space_group_IT_number 65
_space_group_name_Hall '-C 2 2'
_cell_length_a 7.617
_cell_length_b 7.626
_cell_length_c 3.828
_cell_angle_alpha 90.00
_cell_angle_beta 90.00
_cell_angle_gamma 90.00
loop_
_atom_site_label
_atom_site_type_symbol
_atom_site_fract_x
_atom_site_fract_y
_atom_site_fract_z
_atom_site_occupancy
Ca1 Ca 0.250 0.250 0.000 1
Tl1 Tl 0.000 0.000 0.500 1
Cr1 Cr 0.000 0.500 0.500 1
# Formation energy from the elements   0.12 eV per atom
# Magnetization   8.8 μB per cell



# YHo2MgBi4 (PBE-GGA, optimized geometry)
data_YHo2MgBi4
_chemical_formula_sum 'Y1 Ho2 Mg1 Bi4'
_space_group_name_H-M_alt 'P 1 2/m 1'
_space_group_IT_number 10
_space_group_name_Hall '-P 2y'
_cell_length_a 7.751
_cell_length_b 4.426
_cell_length_c 7.755
_cell_angle_alpha 90.00
_cell_angle_beta 109.79
_cell_angle_gamma 90.00
loop_
_atom_site_label
_atom_site_type_symbol
_atom_site_fract_x
_atom_site_fract_y
_atom_site_fract_z
_atom_site_occupancy
Y1 Y 0.000 0.000 0.000 1
Ho1 Ho 0.000 0.500 0.500 1
Ho2 Ho 0.500 0.000 0.500 1
Mg1 Mg 0.500 0.500 0.000 1
Bi1 Bi 0.252 0.500 0.250 1
Bi2 Bi 0.257 0.000 0.756 1
# Formation energy from the elements   -0.61 eV per atom
# Magnetization   0.0 μB per cell



# Sc5Pa (PBE-GGA, optimized geometry)
data_Sc5Pa
_chemical_formula_sum 'Sc10 Pa2'
_space_group_name_H-M_alt 'C m m m'
_space_group_IT_number 65
_space_group_name_Hall '-C 2 2'
_cell_length_a 5.249
_cell_length_b 15.661
_cell_length_c 3.569
_cell_angle_alpha 90.00
_cell_angle_beta 90.00
_cell_angle_gamma 90.00
loop_
_atom_site_label
_atom_site_type_symbol
_atom_site_fract_x
_atom_site_fract_y
_atom_site_fract_z
_atom_site_occupancy
Sc1 Sc 0.000 0.000 0.000 1
Sc2 Sc 0.000 0.167 0.500 1
Sc3 Sc 0.000 0.333 0.000 1
Pa1 Pa 0.000 0.500 0.500 1
# Formation energy from the elements   0.15 eV per atom
# Magnetization   0.0 μB per cell



# Tm6NiSe3S2 (PBE-GGA, optimized geometry)
data_Tm6NiSe3S2
_chemical_formula_sum 'Tm12 Ni2 Se6 S4'
_space_group_name_H-M_alt 'C 1 2/m 1'
_space_group_IT_number 12
_space_group_name_Hall '-C 2y'
_cell_length_a 6.848
_cell_length_b 11.861
_cell_length_c 6.916
_cell_angle_alpha 90.00
_cell_angle_beta 109.51
_cell_angle_gamma 90.00
loop_
_atom_site_label
_atom_site_type_symbol
_atom_site_fract_x
_atom_site_fract_y
_atom_site_fract_z
_atom_site_occupancy
Tm1 Tm 0.233 0.159 0.225 1
Tm2 Tm 0.242 0.000 0.770 1
Ni1 Ni 0.000 0.000 0.000 1
Se1 Se 0.000 0.175 0.500 1
Se2 Se 0.000 0.500 0.500 1
S1 S 0.000 0.334 0.000 1
# Uncorrected energy   -5.872 eV/atom
# Magnetization   0.0 μB per cell



# SrNd4Ag5 (PBE-GGA, optimized geometry)
data_SrNd4Ag5
_chemical_formula_sum 'Sr1 Nd4 Ag5'
_space_group_name_H-M_alt 'P 4/m m m'
_space_group_IT_number 123
_space_group_name_Hall '-P 4 2'
_cell_length_a 3.769
_cell_length_b 3.769
_cell_length_c 19.186
_cell_angle_alpha 90.00
_cell_angle_beta 90.00
_cell_angle_gamma 90.00
loop_
_atom_site_label
_atom_site_type_symbol
_atom_site_fract_x
_atom_site_fract_y
_atom_site_fract_z
_atom_site_occupancy
Sr1 Sr 0.000 0.000 0.000 1
Nd1 Nd 0.000 0.000 0.204 1
Nd2 Nd 0.000 0.000 0.402 1
Ag1 Ag 0.500 0.500 0.113 1
Ag2 Ag 0.500 0.500 0.303 1
Ag3 Ag 0.500 0.500 0.500 1
# Formation energy from the elements   -0.26 eV per atom
# Magnetization   0.0 μB per cell



# Cr2FeTe (PBE-GGA, optimized geometry)
data_Cr2FeTe
_chemical_formula_sum 'Cr4 Fe2 Te2'
_space_group_name_H-M_alt 'C 1 2/m 1'
_space_group_IT_number 12
_space_group_name_Hall '-C 2y'
_cell_length_a 8.756
_cell_length_b 3.081
_cell_length_c 4.249
_cell_angle_alpha 90.00
_cell_angle_beta 102.24
_cell_angle_gamma 90.00
loop_
_atom_site_label
_atom_site_type_symbol
_atom_site_fract_x
_atom_site_fract_y
_atom_site_fract_z
_atom_site_occupancy
Cr1 Cr 0.244 0.000 0.198 1
Fe1 Fe 0.000 0.500 0.000 1
Te1 Te 0.000 0.000 0.500 1
# Uncorrected energy   -7.253 eV/atom
# Magnetization   1.5 μB per cell



# Sr2TcSe (PBE-GGA, optimized geometry)
data_Sr2TcSe
_chemical_formula_sum 'Sr8 Tc4 Se4'
_space_group_name_H-M_alt 'I -4 2 d'
_space_group_IT_number 122
_space_group_name_Hall 'I -4 2bw'
_cell_length_a 8.235
_cell_length_b 8.235
_cell_length_c 7.868
_cell_angle_alpha 90.00
_cell_angle_beta 90.00
_cell_angle_gamma 90.00
loop_
_atom_site_label
_atom_site_type_symbol
_atom_site_fract_x
_atom_site_fract_y
_atom_site_fract_z
_atom_site_occupancy
Sr1 Sr 0.234 0.250 0.125 1
Tc1 Tc 0.000 0.000 0.500 1
Se1 Se 0.000 0.000 0.000 1
# Uncorrected energy   -4.151 eV/atom
# Magnetization   12.0 μB per cell



# Sc2ZnPt (PBE-GGA, optimized geometry)
data_Sc2ZnPt
_chemical_formula_sum 'Sc2 Zn1 Pt1'
_space_group_name_H-M_alt 'P 4 m m'
_space_group_IT_number 99
_space_group_name_Hall 'P 4 -2'
_cell_length_a 3.466
_cell_length_b 3.466
_cell_length_c 6.298
_cell_angle_alpha 90.00
_cell_angle_beta 90.00
_cell_angle_gamma 90.00
loop_
_atom_site_label
_atom_site_type_symbol
_atom_site_fract_x
_atom_site_fract_y
_atom_site_fract_z
_atom_site_occupancy
Sc1 Sc 0.000 0.000 0.000 1
Sc2 Sc 0.500 0.500 0.329 1
Zn1 Zn 0.000 0.000 0.557 1
Pt1 Pt 0.500 0.500 0.788 1
# Formation energy from the elements   -0.60 eV per atom
# Magnetization   1.1 μB per cell



# LaCrCuRe2 (PBE-GGA, optimized geometry)
data_LaCrCuRe2
_chemical_formula_sum 'La1 Cr1 Cu1 Re2'
_space_group_name_H-M_alt 'P 4/m m m'
_space_group_IT_number 123
_space_group_name_Hall '-P 4 2'
_cell_length_a 4.696
_cell_length_b 4.696
_cell_length_c 4.554
_cell_angle_alpha 90.00
_cell_angle_beta 90.00
_cell_angle_gamma 90.00
loop_
_atom_site_label
_atom_site_type_symbol
_atom_site_fract_x
_atom_site_fract_y
_atom_site_fract_z
_atom_site_occupancy
La1 La 0.000 0.000 0.000 1
Cr1 Cr 0.500 0.500 0.000 1
Cu1 Cu 0.500 0.500 0.500 1
Re1 Re 0.000 0.500 0.500 1
# Formation energy from the elements   1.24 eV per atom
# Magnetization   1.7 μB per cell



# VGaH (PBE-GGA, optimized geometry)
data_VGaH
_chemical_formula_sum 'V4 Ga4 H4'
_space_group_name_H-M_alt 'P 1 21/c 1'
_space_group_IT_number 14
_space_group_name_Hall '-P 2ybc'
_cell_length_a 5.168
_cell_length_b 4.516
_cell_length_c 6.049
_cell_angle_alpha 90.00
_cell_angle_beta 110.19
_cell_angle_gamma 90.00
loop_
_atom_site_label
_atom_site_type_symbol
_atom_site_fract_x
_atom_site_fract_y
_atom_site_fract_z
_atom_site_occupancy
V1 V 0.083 0.141 0.201 1
Ga1 Ga 0.355 0.625 0.137 1
H1 H 0.198 0.096 0.949 1
# Uncorrected energy   -5.282 eV/atom
# Magnetization   0.0 μB per cell



# K5Rb12Cl3 (PBE-GGA, optimized geometry)
data_K5Rb12Cl3
_chemical_formula_sum 'K40 Rb96 Cl24'
_space_group_name_H-M_alt 'I a -3 d'
_space_group_IT_number 230
_space_group_name_Hall '-I 4bd 2c 3'
_cell_length_a 24.252
_cell_length_b 24.252
_cell_length_c 24.252
_cell_angle_alpha 90.00
_cell_angle_beta 90.00
_cell_angle_gamma 90.00
loop_
_atom_site_label
_atom_site_type_symbol
_atom_site_fract_x
_atom_site_fract_y
_atom_site_fract_z
_atom_site_occupancy
K1 K 0.000 0.000 0.000 1
K2 K 0.000 0.250 0.375 1
Rb1 Rb 0.014 0.118 0.638 1
Cl1 Cl 0.000 0.250 0.125 1
# Uncorrected energy   -1.503 eV/atom
# Magnetization   0.0 μB per cell



# HfZrVIn (PBE-GGA, optimized geometry)
data_HfZrVIn
_chemical_formula_sum 'Hf4 Zr4 V4 In4'
_space_group_name_H-M_alt 'F -4 3 m'
_space_group_IT_number 216
_space_group_name_Hall 'F -4 2 3'
_cell_length_a 6.870
_cell_length_b 6.870
_cell_length_c 6.870
_cell_angle_alpha 90.00
_cell_angle_beta 90.00
_cell_angle_gamma 90.00
loop_
_atom_site_label
_atom_site_type_symbol
_atom_site_fract_x
_atom_site_fract_y
_atom_site_fract_z
_atom_site_occupancy
Hf1 Hf 0.000 0.000 0.000 1
Zr1 Zr 0.000 0.000 0.500 1
V1 V 0.250 0.250 0.250 1
In1 In 0.250 0.250 0.750 1
# Formation energy from the elements   0.02 eV per atom
# Magnetization   6.7 μB per cell



# LiNiAsRu (PBE-GGA, optimized geometry)
data_LiNiAsRu
_chemical_formula_sum 'Li4 Ni4 As4 Ru4'
_space_group_name_H-M_alt 'F -4 3 m'
_space_group_IT_number 216
_space_group_name_Hall 'F -4 2 3'
_cell_length_a 5.802
_cell_length_b 5.802
_cell_length_c 5.802
_cell_angle_alpha 90.00
_cell_angle_beta 90.00
_cell_angle_gamma 90.00
loop_
_atom_site_label
_atom_site_type_symbol
_atom_site_fract_x
_atom_site_fract_y
_atom_site_fract_z
_atom_site_occupancy
Li1 Li 0.000 0.000 0.000 1
Ni1 Ni 0.250 0.250 0.750 1
As1 As 0.000 0.000 0.500 1
Ru1 Ru 0.250 0.250 0.250 1
# Formation energy from the elements   -0.25 eV per atom
# Magnetization   0.0 μB per cell



# Ga5GeRu6 (PBE-GGA, optimized geometry)
data_Ga5GeRu6
_chemical_formula_sum 'Ga5 Ge1 Ru6'
_space_group_name_H-M_alt 'P 1 2/m 1'
_space_group_IT_number 10
_space_group_name_Hall '-P 2y'
_cell_length_a 4.286
_cell_length_b 6.063
_cell_length_c 6.777
_cell_angle_alpha 90.00
_cell_angle_beta 108.37
_cell_angle_gamma 90.00
loop_
_atom_site_label
_atom_site_type_symbol
_atom_site_fract_x
_atom_site_fract_y
_atom_site_fract_z
_atom_site_occupancy
Ga1 Ga 0.000 0.000 0.000 1
Ga2 Ga 0.330 0.500 0.659 1
Ga3 Ga 0.333 0.000 0.667 1
Ge1 Ge 0.000 0.500 0.000 1
Ru1 Ru 0.164 0.251 0.328 1
Ru2 Ru 0.500 0.256 0.000 1
# Formation energy from the elements   -0.30 eV per atom
# Magnetization   0.0 μB per cell



# Mg2CuW (PBE-GGA, optimized geometry)
data_Mg2CuW
_chemical_formula_sum 'Mg2 Cu1 W1'
_space_group_name_H-M_alt 'P 4/m m m'
_space_group_IT_number 123
_space_group_name_Hall '-P 4 2'
_cell_length_a 2.825
_cell_length_b 2.825
_cell_length_c 8.095
_cell_angle_alpha 90.00
_cell_angle_beta 90.00
_cell_angle_gamma 90.00
loop_
_atom_site_label
_atom_site_type_symbol
_atom_site_fract_x
_atom_site_fract_y
_atom_site_fract_z
_atom_site_occupancy
Mg1 Mg 0.000 0.000 0.232 1
Cu1 Cu 0.500 0.500 0.000 1
W1 W 0.500 0.500 0.500 1
# Formation energy from the elements   0.22 eV per atom
# Magnetization   0.0 μB per cell